Entry from OQMD: crystalline NaLuCoS3 at its relaxed geometry (PBE-GGA).

Cell: 3.7879 12.8454 10.1963 Å, 90.00 90.00 90.00°
Closest atoms and distances in Å follow each position.
Space group Cmcm (No. 63)
Symmetry-distinct sites (fractional):
Na  0.0000  0.2476  0.2500  6 S 2.97-3.00
Lu  0.0000  0.0000  0.0000  6 S 2.65-2.72
Co  0.0000  0.4715  0.7500  4 S 2.24-2.31
S  0.0000  0.0746  0.7500  2 Co 2.31
S  0.0000  0.3677  0.5734  1 Co 2.24

Properties
Volume in Å³/f.u.: 124.0
Distance to the lowest polymorph of the same formula in meV/atom: 42
Size of the total moment in μB per atom: 0.4875